1.
This record from Alexandria via LeMat-Bulk describes a relaxed Er2CoNi crystal. The functional is PBE.

The structure in POSCAR format:
```
Er2CoNi
1.0
1.697 0.980 8.579
-1.697 0.980 8.579
0.000 -1.959 8.579
Er Co Ni
2 1 1
Cartesian
0.000 0.000 2.530
0.000 0.000 23.209
0.000 0.000 12.869
0.000 0.000 0.000
```

The raw total energy comes out at -20.484 eV for the cell shown. Its spin magnetization is 0.000 μB/cell. Its crystal system is trigonal.

2.
This record from Alexandria via LeMat-Bulk describes a relaxed BaYAsBr2 crystal. The functional is PBE.

The structure in POSCAR format:
```
BaYAsBr2
1.0
5.530 0.000 0.000
0.000 5.530 0.000
0.000 0.000 5.649
Ba Y As Br
1 1 1 2
Cartesian
0.000 0.000 0.000
2.765 2.765 2.824
2.765 2.765 0.000
0.000 2.765 2.824
2.765 0.000 2.824
```

For the energy above the most stable polymorph in this dataset, the calculation gives 0 meV/atom. Its spin magnetization is 0.000 μB/cell. Its formation energy from raw total energies is -1429 meV per atom. Its crystal system is tetragonal.

3.
This record from Alexandria via LeMat-Bulk describes a relaxed Er5Zn2Pd crystal. The functional is PBE.

The structure in POSCAR format:
```
Er5Zn2Pd
1.0
-3.585 3.585 7.604
3.585 -3.585 7.604
3.585 3.585 -7.604
Er Zn Pd
10 4 2
Cartesian
0.000 0.000 0.000
4.803 1.218 -2.319
1.218 2.367 -2.319
4.803 1.218 2.319
1.218 2.367 2.319
0.000 0.000 7.604
2.367 1.218 5.285
-1.218 2.367 5.285
2.367 1.218 9.923
-1.218 2.367 9.923
2.708 0.878 0.000
2.708 -0.878 7.604
0.878 4.463 0.000
0.878 2.708 7.604
0.000 0.000 3.802
0.000 0.000 11.406
```

The raw total energy comes out at -67.250 eV for the cell shown. Its spin magnetization is 0.000 μB/cell. Its crystal system is tetragonal.

4.
This record from Alexandria via LeMat-Bulk describes a relaxed AlVMo2H crystal. The functional is PBE.

The structure in POSCAR format:
```
AlVMo2H
1.0
4.140 0.000 0.000
0.000 4.140 0.000
0.000 0.000 3.624
Al V Mo H
1 1 2 1
Cartesian
0.000 0.000 0.000
2.070 2.070 0.000
0.000 2.070 1.812
2.070 0.000 1.812
2.070 2.070 1.812
```

The raw total energy comes out at -38.196 eV for the cell shown. Its spin magnetization is 0.000 μB/cell. Its crystal system is tetragonal.

5.
This record from Alexandria via LeMat-Bulk describes a relaxed PmDyErAl crystal. The functional is PBE.

The structure in POSCAR format:
```
PmDyErAl
1.0
3.519 0.000 0.000
0.000 3.519 0.000
0.000 0.000 9.059
Pm Dy Er Al
1 1 1 1
Cartesian
0.000 0.000 0.000
1.760 1.760 6.412
1.760 1.760 2.606
0.000 0.000 4.491
```

For the energy above the most stable polymorph in this dataset, the calculation gives 0 meV/atom. Its spin magnetization is 0.000 μB/cell. Its crystal system is tetragonal.

6.
This record from Alexandria via LeMat-Bulk describes a relaxed AgAs2 crystal. The functional is PBE.

The structure in POSCAR format:
```
AgAs2
1.0
0.000 2.719 7.629
1.411 0.000 7.629
1.411 2.719 0.000
Ag As
1 2
Cartesian
0.000 0.000 0.000
1.411 2.719 5.212
1.411 2.719 10.045
```

The raw total energy comes out at -11.171 eV for the cell shown. Its spin magnetization is 0.000 μB/cell. Its crystal system is orthorhombic.

7.
This record from Alexandria via LeMat-Bulk describes a relaxed Pm8P3CS4 crystal. The functional is PBE.

The structure in POSCAR format:
```
Pm8P3CS4
1.0
4.041 2.333 6.643
-4.041 2.333 6.643
0.000 -4.667 6.643
Pm P C S
8 3 1 4
Cartesian
0.000 0.000 4.937
-1.914 -1.105 11.499
0.000 -2.210 8.428
-1.914 1.105 8.428
1.914 -1.105 11.499
0.000 2.210 11.499
1.914 1.105 8.428
0.000 0.000 14.990
-4.041 0.000 9.964
-2.021 1.167 3.321
2.021 1.167 3.321
0.000 0.000 9.964
0.000 0.000 0.000
-2.021 -1.167 6.643
-2.021 1.167 13.285
0.000 2.333 6.643
```

Its spin magnetization is 0.000 μB/cell. Its formation energy from raw total energies is -1677 meV per atom. Its crystal system is trigonal.

8.
This record from Alexandria via LeMat-Bulk describes a relaxed Tb3Pr2Tm3 crystal. The functional is PBE.

The structure in POSCAR format:
```
Tb3Pr2Tm3
1.0
1.797 -8.734 0.000
1.797 8.734 0.000
0.000 0.000 16.843
Tb Pr Tm
6 4 6
Cartesian
1.797 6.833 12.632
1.797 6.241 8.681
1.797 6.241 16.583
1.797 -6.241 0.259
1.797 -6.241 8.162
1.797 -6.833 4.211
1.797 3.757 10.927
1.797 3.757 14.337
1.797 -3.757 2.505
1.797 -3.757 5.916
1.797 7.384 4.211
1.797 0.112 10.116
1.797 0.112 15.148
1.797 -0.112 1.695
1.797 -0.112 6.726
1.797 -7.384 12.632
```

For the energy above the most stable polymorph in this dataset, the calculation gives 0 meV/atom. Its spin magnetization is 0.000 μB/cell. Its crystal system is orthorhombic.

9.
This record from Alexandria via LeMat-Bulk describes a relaxed LiIr2Ru crystal. The functional is PBE.

The structure in POSCAR format:
```
LiIr2Ru
1.0
0.000 3.022 3.022
3.022 0.000 3.022
3.022 3.022 0.000
Li Ir Ru
1 2 1
Cartesian
0.000 0.000 0.000
3.022 3.022 3.022
4.533 4.533 4.533
1.511 1.511 1.511
```

For the energy above the most stable polymorph in this dataset, the calculation gives 209 meV/atom. Its spin magnetization is 0.000 μB/cell. Its crystal system is cubic.

10.
This record from Alexandria via LeMat-Bulk describes a relaxed HoHgI2 crystal. The functional is PBE.

The structure in POSCAR format:
```
HoHgI2
1.0
2.038 1.177 12.201
-2.038 1.177 12.201
0.000 -2.353 12.201
Ho Hg I
1 1 2
Cartesian
0.000 0.000 0.000
0.000 0.000 18.302
0.000 0.000 14.169
0.000 0.000 22.435
```

Its spin magnetization is 0.000 μB/cell. Its formation energy from raw total energies is -858 meV per atom. Its crystal system is trigonal.

11.
This record from Alexandria via LeMat-Bulk describes a relaxed RbY crystal. The functional is PBE.

The structure in POSCAR format:
```
RbY
1.0
3.697 0.000 0.000
-1.848 3.202 0.000
0.000 0.000 14.804
Rb Y
2 2
Cartesian
0.000 2.134 0.000
1.848 1.067 7.402
0.000 2.134 3.709
1.848 1.067 11.111
```

The raw total energy comes out at -12.380 eV for the cell shown. Its spin magnetization is 0.190 μB/cell. Its crystal system is hexagonal.

12.
This record from Alexandria via LeMat-Bulk describes a relaxed Ca2ZnOs crystal. The functional is PBE.

The structure in POSCAR format:
```
Ca2ZnOs
1.0
4.280 -1.455 0.000
4.280 1.455 0.000
-0.660 0.000 7.401
Ca Zn Os
2 1 1
Cartesian
1.963 0.000 1.663
5.937 0.000 5.738
-0.330 0.000 3.701
4.280 0.000 0.000
```

The raw total energy comes out at -14.576 eV for the cell shown. Its spin magnetization is 0.000 μB/cell. Its crystal system is monoclinic.

Please write out number 8 again, unchanged.
This record from Alexandria via LeMat-Bulk describes a relaxed Tb3Pr2Tm3 crystal. The functional is PBE.

The structure in POSCAR format:
```
Tb3Pr2Tm3
1.0
1.797 -8.734 0.000
1.797 8.734 0.000
0.000 0.000 16.843
Tb Pr Tm
6 4 6
Cartesian
1.797 6.833 12.632
1.797 6.241 8.681
1.797 6.241 16.583
1.797 -6.241 0.259
1.797 -6.241 8.162
1.797 -6.833 4.211
1.797 3.757 10.927
1.797 3.757 14.337
1.797 -3.757 2.505
1.797 -3.757 5.916
1.797 7.384 4.211
1.797 0.112 10.116
1.797 0.112 15.148
1.797 -0.112 1.695
1.797 -0.112 6.726
1.797 -7.384 12.632
```

For the energy above the most stable polymorph in this dataset, the calculation gives 0 meV/atom. Its spin magnetization is 0.000 μB/cell. Its crystal system is orthorhombic.